# 1
VASP calculation (GGA-PBE) on a relaxed structure of Na2Sr3As4.

Output
- V: 27.5 A^3/atom
- Energy of formation: -0.87 eV per atom

POSCAR file:
```
Na2Sr3As4
1.0
8.3274 0.0000 0.0000
0.0000 7.5879 0.0000
-8.2928 0.0000 15.6580
Na Sr As
8 12 16
direct
0.2062 0.1868 0.3772 Na
0.2062 0.3132 0.8772 Na
0.2637 0.6405 0.7511 Na
0.2637 0.8595 0.2511 Na
0.7363 0.1405 0.7489 Na
0.7363 0.3595 0.2489 Na
0.7938 0.6868 0.1228 Na
0.7938 0.8132 0.6228 Na
0.0514 0.6819 0.3712 Sr
0.0514 0.8181 0.8712 Sr
0.2947 0.5267 0.0991 Sr
0.2947 0.9733 0.5991 Sr
0.4092 0.0270 0.0997 Sr
0.4092 0.4730 0.5997 Sr
0.5908 0.5270 0.4003 Sr
0.5908 0.9730 0.9003 Sr
0.7053 0.0267 0.4009 Sr
0.7053 0.4733 0.9009 Sr
0.9486 0.1819 0.1288 Sr
0.9486 0.3181 0.6288 Sr
0.0065 0.6484 0.5380 As
0.0065 0.8516 0.0380 As
0.1682 0.0156 0.7498 As
0.1682 0.4844 0.2498 As
0.3787 0.2437 0.2489 As
0.3787 0.2563 0.7489 As
0.4305 0.6462 0.9620 As
0.4305 0.8538 0.4620 As
0.5695 0.1462 0.5380 As
0.5695 0.3538 0.0380 As
0.6213 0.7437 0.2511 As
0.6213 0.7563 0.7511 As
0.8318 0.5156 0.7502 As
0.8318 0.9844 0.2502 As
0.9935 0.1484 0.9620 As
0.9935 0.3516 0.4620 As
```

=====

# 2
VASP calculation (GGA-PBE) on a relaxed structure of NaSr2As2.

Output
- V: 29.5 A^3/atom
- Density of states at the Fermi level: 0.19 states/eV per atom
- Energy of formation: -0.73 eV per atom
- Offset from the most stable computed form: 92 meV per atom

POSCAR file:
```
NaSr2As2
1.0
9.0376 0.0000 0.0000
0.0000 9.0376 0.0000
0.0000 0.0000 3.6143
Na Sr As
2 4 4
direct
0.0000 0.0000 0.0000 Na
0.5000 0.5000 0.0000 Na
0.1345 0.3655 0.0000 Sr
0.3655 0.8655 0.0000 Sr
0.6345 0.1345 0.0000 Sr
0.8655 0.6345 0.0000 Sr
0.1664 0.6664 0.5000 As
0.3336 0.1664 0.5000 As
0.6664 0.8336 0.5000 As
0.8336 0.3336 0.5000 As
```

=====

# 3
VASP calculation (GGA-PBE) on a relaxed structure of NaSr2As2.

Output
- V: 36.2 A^3/atom
- Density of states at the Fermi level: 0.54 states/eV per atom
- Energy of formation: -0.37 eV per atom
- Offset from the most stable computed form: 450 meV per atom

POSCAR file:
```
NaSr2As2
1.0
4.1873 0.0000 0.0000
0.0000 4.1873 0.0000
0.0000 0.0000 20.6258
Na Sr As
2 4 4
direct
0.0000 0.0000 0.0000 Na
0.5000 0.5000 0.5000 Na
0.0000 0.0000 0.3626 Sr
0.0000 0.0000 0.6374 Sr
0.5000 0.5000 0.1374 Sr
0.5000 0.5000 0.8626 Sr
0.0000 0.5000 0.2500 As
0.0000 0.5000 0.7500 As
0.5000 0.0000 0.2500 As
0.5000 0.0000 0.7500 As
```

=====

# 4
VASP calculation (GGA-PBE) on a relaxed structure of NaSrAs2.

Output
- V: 24.3 A^3/atom
- Density of states at the Fermi level: 0.39 states/eV per atom
- Energy of formation: -0.56 eV per atom
- Offset from the most stable computed form: 0 meV per atom

POSCAR file:
```
NaSrAs2
1.0
4.7023 0.0000 0.0000
0.0000 4.7023 0.0000
0.0000 0.0000 4.3986
Na Sr As
1 1 2
direct
0.0000 0.0000 0.0000 Na
0.5000 0.5000 0.0000 Sr
0.0000 0.5000 0.5000 As
0.5000 0.0000 0.5000 As
```

=====

# 5
VASP calculation (GGA-PBE) on a relaxed structure of NaSr2As.

Output
- V: 42.1 A^3/atom
- Density of states at the Fermi level: 0.23 states/eV per atom
- Energy of formation: -0.65 eV per atom

POSCAR file:
```
NaSr2As
1.0
4.6116 0.0000 0.0000
-2.3058 3.9938 0.0000
0.0000 0.0000 27.4496
Na Sr As
3 6 3
direct
0.0000 0.0000 0.0000 Na
0.3333 0.6667 0.6667 Na
0.6667 0.3333 0.3333 Na
0.0000 0.0000 0.5563 Sr
0.0000 0.0000 0.7743 Sr
0.3333 0.6667 0.2230 Sr
0.3333 0.6667 0.4410 Sr
0.6667 0.3333 0.1077 Sr
0.6667 0.3333 0.8896 Sr
0.0000 0.0000 0.1644 As
0.3333 0.6667 0.8311 As
0.6667 0.3333 0.4978 As
```

=====

# 6
VASP calculation (GGA-PBE) on a relaxed structure of Na2Sr2As.

Output
- V: 33.6 A^3/atom
- Density of states at the Fermi level: 1.14 states/eV per atom
- Energy of formation: -0.16 eV per atom

POSCAR file:
```
Na2Sr2As
1.0
7.8762 0.0000 0.0000
0.0000 7.8762 0.0000
0.0000 0.0000 5.4111
Na Sr As
4 4 2
direct
0.1377 0.3623 0.0000 Na
0.3623 0.8623 0.0000 Na
0.6377 0.1377 0.0000 Na
0.8623 0.6377 0.0000 Na
0.1886 0.6886 0.5000 Sr
0.3114 0.1886 0.5000 Sr
0.6886 0.8114 0.5000 Sr
0.8114 0.3114 0.5000 Sr
0.0000 0.0000 0.0000 As
0.5000 0.5000 0.0000 As
```

=====

# 7
VASP calculation (GGA-PBE) on a relaxed structure of NaSr2As2.

Output
- V: 33.5 A^3/atom
- Density of states at the Fermi level: 0.54 states/eV per atom
- Energy of formation: -0.57 eV per atom
- Offset from the most stable computed form: 252 meV per atom

POSCAR file:
```
NaSr2As2
1.0
6.0602 0.0000 0.0000
0.0000 6.0602 0.0000
0.0000 0.0000 9.1175
Na Sr As
2 4 4
direct
0.0000 0.0000 0.0000 Na
0.5000 0.5000 0.5000 Na
0.0000 0.5000 0.2500 Sr
0.0000 0.5000 0.7500 Sr
0.5000 0.0000 0.2500 Sr
0.5000 0.0000 0.7500 Sr
0.0000 0.0000 0.3484 As
0.0000 0.0000 0.6516 As
0.5000 0.5000 0.1516 As
0.5000 0.5000 0.8484 As
```

=====

# 8
VASP calculation (GGA-PBE) on a relaxed structure of NaSrAs.

Output
- V: 28.1 A^3/atom
- Density of states at the Fermi level: 0.24 states/eV per atom
- Energy of formation: -0.58 eV per atom

POSCAR file:
```
NaSrAs
1.0
4.3224 0.0000 0.0000
0.0000 4.3224 0.0000
0.0000 0.0000 9.0229
Na Sr As
2 2 2
direct
0.0000 0.0000 0.0000 Na
0.5000 0.5000 0.5000 Na
0.0000 0.0000 0.6810 Sr
0.5000 0.5000 0.1810 Sr
0.0000 0.0000 0.3244 As
0.5000 0.5000 0.8244 As
```

=====

# 9
VASP calculation (GGA-PBE) on a relaxed structure of NaSrAs.

Output
- V: 27.7 A^3/atom
- Energy of formation: -0.88 eV per atom

POSCAR file:
```
NaSrAs
1.0
7.8988 0.0000 0.0000
-3.9494 6.8406 0.0000
0.0000 0.0000 4.6059
Na Sr As
3 3 3
direct
0.0000 0.2420 0.0000 Na
0.2420 0.0000 0.0000 Na
0.7580 0.7580 0.0000 Na
0.0000 0.5853 0.5000 Sr
0.4147 0.4147 0.5000 Sr
0.5853 0.0000 0.5000 Sr
0.0000 0.0000 0.5000 As
0.3333 0.6667 0.0000 As
0.6667 0.3333 0.0000 As
```

=====

# 10
VASP calculation (GGA-PBE) on a relaxed structure of Na2Sr3As3.

Output
- V: 30.0 A^3/atom
- Density of states at the Fermi level: 1.22 states/eV per atom
- Energy of formation: -0.83 eV per atom

POSCAR file:
```
Na2Sr3As3
1.0
9.2793 0.0000 0.0000
-4.6397 8.0361 0.0000
0.0000 0.0000 6.4472
Na Sr As
4 6 6
direct
0.3333 0.6667 0.0000 Na
0.3333 0.6667 0.5000 Na
0.6667 0.3333 0.0000 Na
0.6667 0.3333 0.5000 Na
0.0000 0.3028 0.2500 Sr
0.0000 0.6972 0.7500 Sr
0.3028 0.0000 0.2500 Sr
0.3028 0.3028 0.7500 Sr
0.6972 0.0000 0.7500 Sr
0.6972 0.6972 0.2500 Sr
0.0000 0.3612 0.7500 As
0.0000 0.6388 0.2500 As
0.3612 0.0000 0.7500 As
0.3612 0.3612 0.2500 As
0.6388 0.0000 0.2500 As
0.6388 0.6388 0.7500 As
```

=====

# 11
VASP calculation (GGA-PBE) on a relaxed structure of NaSr5As4.

Output
- V: 32.8 A^3/atom
- Density of states at the Fermi level: 0.33 states/eV per atom
- Energy of formation: -0.95 eV per atom

POSCAR file:
```
NaSr5As4
1.0
8.6002 -2.5623 0.0000
8.6002 2.5623 0.0000
-0.7408 0.0000 7.4406
Na Sr As
1 5 4
direct
0.0000 0.0000 0.0000 Na
0.0000 0.0000 0.5000 Sr
0.3337 0.3337 0.4965 Sr
0.3466 0.3466 0.0181 Sr
0.6534 0.6534 0.9819 Sr
0.6663 0.6663 0.5035 Sr
0.1924 0.1924 0.7410 As
0.4858 0.4858 0.7560 As
0.5142 0.5142 0.2440 As
0.8076 0.8076 0.2590 As
```

=====

# 12
VASP calculation (GGA-PBE) on a relaxed structure of Na4Sr2TiAs4.

Output
- V: 27.8 A^3/atom
- Energy of formation: -0.79 eV per atom

POSCAR file:
```
Na4Sr2TiAs4
1.0
4.7945 -8.3615 0.0000
4.7945 8.3615 0.0000
-0.0888 0.0000 7.6228
Na Sr Ti As
8 4 2 8
direct
0.0684 0.9316 0.5000 Na
0.3288 0.8624 0.1839 Na
0.5224 0.6706 0.0316 Na
0.6663 0.9464 0.5196 Na
0.6706 0.5224 0.5316 Na
0.8624 0.3288 0.6839 Na
0.9316 0.0684 0.0000 Na
0.9464 0.6663 0.0196 Na
0.2664 0.3228 0.6840 Sr
0.2683 0.7449 0.6873 Sr
0.3228 0.2664 0.1840 Sr
0.7449 0.2683 0.1873 Sr
0.1379 0.4729 0.2962 Ti
0.4729 0.1379 0.7962 Ti
0.1366 0.4640 0.9692 As
0.1823 0.9924 0.8906 As
0.4190 0.6065 0.4103 As
0.4640 0.1366 0.4692 As
0.6065 0.4190 0.9103 As
0.6056 0.9909 0.8989 As
0.9909 0.6056 0.3989 As
0.9924 0.1823 0.3906 As
```

=====

Please write out number 3 again, unchanged.
VASP calculation (GGA-PBE) on a relaxed structure of NaSr2As2.

Output
- V: 36.2 A^3/atom
- Density of states at the Fermi level: 0.54 states/eV per atom
- Energy of formation: -0.37 eV per atom
- Offset from the most stable computed form: 450 meV per atom

POSCAR file:
```
NaSr2As2
1.0
4.1873 0.0000 0.0000
0.0000 4.1873 0.0000
0.0000 0.0000 20.6258
Na Sr As
2 4 4
direct
0.0000 0.0000 0.0000 Na
0.5000 0.5000 0.5000 Na
0.0000 0.0000 0.3626 Sr
0.0000 0.0000 0.6374 Sr
0.5000 0.5000 0.1374 Sr
0.5000 0.5000 0.8626 Sr
0.0000 0.5000 0.2500 As
0.0000 0.5000 0.7500 As
0.5000 0.0000 0.2500 As
0.5000 0.0000 0.7500 As
```

=====

Question: What is the V in the twelfth record?
Answer: 27.8 A^3/atom